# 1
Here is a relaxed structure of GeTe3N from the Alexandria database. Energies are from PBE.

a b c (Å): 4.8008 4.8008 4.8008
angles (deg): 90.00 90.00 90.00
Closest atoms and distances in Å follow each position.
Fractional coordinates of all 5 atoms:
N (0.0000, 0.0000, 0.0000)  6 Te 2.40
Te (0.5000, 0.0000, 0.0000)  2 N 2.40
Te (0.0000, 0.0000, 0.5000)  2 N 2.40
Te (0.0000, 0.5000, 0.0000)  2 N 2.40
Ge (0.5000, 0.5000, 0.5000)  12 Te 3.39

Computed properties:
electronic total energy: -3.770 eV per atom
E_form (uncorrected): 703.4 meV/atom
relative energy among the computed polymorphs: 0.0 kJ/mol of atoms
Fermi-level density of states: 2.8 states/eV/cell
M_tot: 0.00 μB/cell

---

# 2
Here is a relaxed structure of Th8Ge3Te4N from the Alexandria database. Energies are from PBE.

a b c (Å): 8.4677 8.8706 8.4680
angles (deg): 118.52 120.00 90.00
Closest atoms and distances in Å follow each position.
Fractional coordinates of all 16 atoms:
Th (0.7826, 0.2991, 0.5652)  1 N 2.66, 2 Ge 2.97
Th (0.2338, 0.2992, 0.0165)  1 N 2.66, 2 Ge 2.97
Th (0.7393, 0.7179, 0.4786)  3 Ge 2.93, 3 Te 3.21
Th (0.7827, 0.2992, 0.0165)  1 N 2.66, 2 Ge 2.97
Te (0.5000, 0.0000, 0.5000)  6 Th 3.21-3.22
Th (0.2173, 0.7008, 0.9835)  1 N 2.66, 2 Ge 2.97
Ge (0.0000, 0.5000, 0.5000)  6 Th 2.93-2.97
Ge (0.5000, 0.5000, 0.5000)  6 Th 2.93-2.97
Th (0.7662, 0.7008, 0.9835)  1 N 2.66, 2 Ge 2.97
Te (0.5000, 0.0000, 0.0000)  6 Th 3.48
Te (0.0000, 0.0000, 0.5000)  6 Th 3.21-3.22
Ge (0.5000, 0.5000, 0.0000)  6 Th 2.93-2.97
Te (0.0000, 0.0000, 0.0000)  6 Th 3.21-3.22
N (0.0000, 0.5000, 0.0000)  6 Th 2.66
Th (0.2174, 0.7009, 0.4348)  1 N 2.66, 2 Ge 2.97
Th (0.2607, 0.2821, 0.5214)  3 Ge 2.93, 3 Te 3.21

Computed properties:
electronic total energy: -6.908 eV per atom
E_form (uncorrected): -1026.1 meV/atom
Fermi-level density of states: 7.5 states/eV/cell
M_tot: 0.00 μB/cell

---

# 3
Here is a relaxed structure of ThGeTe2N from the Alexandria database. Energies are from PBE.

a b c (Å): 4.0737 4.0737 15.9495
angles (deg): 90.00 90.00 90.00
Closest atoms and distances in Å follow each position.
Fractional coordinates of all 10 atoms:
Te (0.0000, 0.5000, 0.6924)  1 Ge 2.69
Th (0.0000, 0.5000, 0.4265)  4 N 2.35
N (0.0000, 0.0000, 0.5000)  4 Th 2.35
N (0.5000, 0.5000, 0.5000)  4 Th 2.35
Th (0.5000, 0.0000, 0.5735)  4 N 2.35
Ge (0.0000, 0.5000, 0.8612)  5 Te 2.69-2.96
Ge (0.5000, 0.0000, 0.1388)  5 Te 2.69-2.96
Te (0.0000, 0.5000, 0.0967)  4 Ge 2.96
Te (0.5000, 0.0000, 0.9033)  4 Ge 2.96
Te (0.5000, 0.0000, 0.3076)  1 Ge 2.69

Computed properties:
electronic total energy: -6.213 eV per atom
E_form (uncorrected): -884.2 meV/atom
Fermi-level density of states: 4.8 states/eV/cell
M_tot: 0.00 μB/cell

---

> Look up the electronic total energy of the first one.

-3.770 eV per atom

---

Please write out number 1 again, unchanged.
Here is a relaxed structure of GeTe3N from the Alexandria database. Energies are from PBE.

a b c (Å): 4.8008 4.8008 4.8008
angles (deg): 90.00 90.00 90.00
Closest atoms and distances in Å follow each position.
Fractional coordinates of all 5 atoms:
N (0.0000, 0.0000, 0.0000)  6 Te 2.40
Te (0.5000, 0.0000, 0.0000)  2 N 2.40
Te (0.0000, 0.0000, 0.5000)  2 N 2.40
Te (0.0000, 0.5000, 0.0000)  2 N 2.40
Ge (0.5000, 0.5000, 0.5000)  12 Te 3.39

Computed properties:
electronic total energy: -3.770 eV per atom
E_form (uncorrected): 703.4 meV/atom
relative energy among the computed polymorphs: 0.0 kJ/mol of atoms
Fermi-level density of states: 2.8 states/eV/cell
M_tot: 0.00 μB/cell

---

> Number 2 is which compound?

Th8Ge3Te4N

---

> Which of these has the highest Fermi-level density of states?

Th8Ge3Te4N